A relaxed Ti4BeZnCo2 crystal. Source: Alexandria, functional PBE.

The structure in POSCAR format:
```
Ti4BeZnCo2
1.0
2.098 1.211 7.251
-2.098 1.211 7.251
0.000 -2.422 7.251
Ti Be Zn Co
4 1 1 2
direct
0.120 0.120 0.120
0.373 0.373 0.373
0.627 0.627 0.627
0.880 0.880 0.880
0.000 0.000 0.000
0.500 0.500 0.500
0.261 0.261 0.261
0.739 0.739 0.739
```

Formation enthalpy at 0 K: -0.211 eV/atom
DOS at the Fermi energy: 6.065 states/eV/f.u.
Total moment: 0.0 μB/cell